Entry 1:
VASP calculation (PBE-GGA) on crystalline CaHgBr at its relaxed geometry.

Cell lengths 12.511, 4.395, 7.189 Å; angles 90.00, 98.45, 90.00 degrees
Atoms (fractional coordinates):
Ca1 0.467 0.000 0.882
Ca2 0.930 0.500 0.879
Ca3 0.467 0.500 0.382
Ca4 0.930 0.000 0.379
Br1 0.341 0.000 0.507
Br2 0.054 0.500 0.569
Br3 0.341 0.500 0.007
Br4 0.054 0.000 0.069
Hg1 0.630 0.000 0.267
Hg2 0.765 0.500 0.171
Hg3 0.765 0.000 0.671
Hg4 0.630 0.500 0.767

## Properties
- crystal system = monoclinic
- energy above the lowest structure with this stoichiometry (meV/atom) = 7
- energy relative to the elements, uncorrected (meV per atom) = -1127

***

Entry 2:
VASP calculation (PBE-GGA) on crystalline BaAsSe2 at its relaxed geometry.

Cell lengths 7.443, 7.587, 10.087 Å; angles 120.30, 90.00, 90.00 degrees
Atoms (fractional coordinates):
Se1 0.838 0.202 0.139
Se2 0.078 0.793 0.226
Se3 0.422 0.293 0.726
Se4 0.662 0.702 0.639
Se5 0.338 0.298 0.361
Se6 0.162 0.798 0.861
Se7 0.578 0.707 0.274
Se8 0.922 0.207 0.774
As1 0.807 0.623 0.404
As2 0.193 0.377 0.596
As3 0.693 0.123 0.904
As4 0.307 0.877 0.096
Ba1 0.742 0.180 0.459
Ba2 0.758 0.680 0.959
Ba3 0.258 0.820 0.541
Ba4 0.242 0.320 0.041

## Properties
- crystal system = monoclinic
- energy relative to the elements, uncorrected (meV per atom) = -987